Entry 1:
Density functional theory data (PBE-GGA) for a geometry-optimized AcCd2PN4 structure.

Geometry as POSCAR:
```
AcCd2PN4
1.0
5.678 0.000 0.000
2.839 4.499 -0.771
2.839 -0.268 4.557
Ac Cd P N
1 2 1 4
Direct
0.000 0.000 0.000
0.500 0.750 0.250
0.500 0.250 0.750
0.000 0.500 0.500
0.647 0.550 0.803
0.353 0.197 0.450
0.000 0.450 0.197
0.000 0.803 0.550
```

Calculated values
Crystal system: tetragonal
Total energy in eV per atom: -6.002
Symmetry: I-42m (121)
Uncorrected formation energy in meV per atom: -421

---

Entry 2:
Density functional theory data (PBE-GGA) for a geometry-optimized Ac4CdPb2N2 structure.

Geometry as POSCAR:
```
Ac4CdPb2N2
1.0
4.082 0.000 0.000
0.000 7.620 -0.801
-2.041 -3.776 9.791
Ac Cd Pb N
4 1 2 2
Direct
0.233 0.188 0.465
0.767 0.812 0.535
0.568 0.760 0.136
0.432 0.240 0.864
0.000 0.000 0.000
0.108 0.422 0.217
0.892 0.578 0.783
0.688 0.982 0.377
0.312 0.018 0.623
```

Calculated values
Crystal system: monoclinic
Total energy in eV per atom: -5.311
Symmetry: C2/m (12)
Uncorrected formation energy in meV per atom: -709

---

Entry 3:
Density functional theory data (PBE-GGA) for a geometry-optimized Ac4CdPtN structure.

Geometry as POSCAR:
```
Ac4CdPtN
1.0
7.262 0.000 0.000
0.000 7.567 0.000
-2.851 0.000 8.685
Ac Cd Pt N
8 2 2 2
Direct
0.003 0.493 0.721
0.997 0.993 0.279
0.997 0.507 0.279
0.003 0.007 0.721
0.426 0.750 0.143
0.574 0.250 0.857
0.439 0.750 0.574
0.561 0.250 0.426
0.767 0.750 0.939
0.233 0.250 0.061
0.781 0.750 0.451
0.219 0.250 0.549
0.227 0.750 0.309
0.773 0.250 0.691
```

Calculated values
Crystal system: monoclinic
Total energy in eV per atom: -5.250
Symmetry: P2_1/m (11)
Uncorrected formation energy in meV per atom: -719